1.
CsHAu: optimized geometry, PBE.

Cell lengths 4.465, 9.191, 10.590 Å; angles 90.00, 90.00, 90.00 degrees
Fractional coordinates of all 12 atoms:
Cs 0.250 0.236 0.000
Cs 0.250 0.736 0.500
Cs 0.750 0.264 0.500
Cs 0.750 0.764 0.000
H 0.250 0.280 0.695
H 0.250 0.780 0.195
H 0.750 0.220 0.195
H 0.750 0.720 0.695
Au 0.250 0.092 0.709
Au 0.250 0.592 0.209
Au 0.750 0.408 0.209
Au 0.750 0.908 0.709

- polymorph energy (0 for the lowest one) (meV per atom) = 153
- ρ (Mg/m³) = 5.1

=====

2.
Ba2HoMo2N6: optimized geometry, PBE.

Cell lengths 6.256, 6.256, 7.253 Å; angles 117.90, 117.90, 59.46 degrees
Fractional coordinates of all 11 atoms:
Ba 0.212 0.212 0.186
Ba 0.788 0.788 0.814
Ho 0.000 0.000 0.500
Mo 0.455 0.455 0.783
Mo 0.545 0.545 0.217
N 0.210 0.701 0.231
N 0.255 0.255 0.631
N 0.299 0.790 0.769
N 0.701 0.210 0.231
N 0.745 0.745 0.369
N 0.790 0.299 0.769

- formation energy (no corrections) (meV/atom) = -695
- ρ (Mg/m³) = 5.8

=====

3.
CrAs2Cl: optimized geometry, PBE.

Cell lengths 4.783, 3.406, 7.023 Å; angles 90.00, 99.66, 90.00 degrees
Fractional coordinates of all 4 atoms:
Cr 0.000 0.000 0.000
As 0.279 0.500 0.280
As 0.509 0.000 0.103
Cl 0.905 0.500 0.771

- polymorph energy (0 for the lowest one) (meV per atom) = 0
- formation energy (no corrections) (meV/atom) = -232
- ρ (Mg/m³) = 3.5

=====

4.
TbNdLuTl: optimized geometry, PBE.

Cell lengths 7.786, 7.786, 7.786 Å; angles 90.00, 90.00, 90.00 degrees
Fractional coordinates of all 16 atoms:
Tb 0.000 0.000 0.000
Tb 0.000 0.500 0.500
Tb 0.500 0.000 0.500
Tb 0.500 0.500 0.000
Nd 0.000 0.000 0.500
Nd 0.000 0.500 0.000
Nd 0.500 0.000 0.000
Nd 0.500 0.500 0.500
Lu 0.250 0.250 0.250
Lu 0.250 0.750 0.750
Lu 0.750 0.250 0.750
Lu 0.750 0.750 0.250
Tl 0.250 0.250 0.750
Tl 0.250 0.750 0.250
Tl 0.750 0.250 0.250
Tl 0.750 0.750 0.750

- energy relative to the elements (eV/atom) = -0.06
- ρ (Mg/m³) = 9.6

=====

5.
KVSeBr2: optimized geometry, PBE.

Cell lengths 5.401, 5.401, 4.812 Å; angles 90.00, 90.00, 90.00 degrees
Fractional coordinates of all 5 atoms:
K 0.000 0.000 0.000
V 0.500 0.500 0.500
Se 0.500 0.500 0.000
Br 0.000 0.500 0.500
Br 0.500 0.000 0.500

- polymorph energy (0 for the lowest one) (meV per atom) = 0
- formation energy (no corrections) (meV/atom) = -943
- ρ (Mg/m³) = 3.9

=====

6.
KBa2Sr: optimized geometry, PBE.

Cell lengths 4.813, 7.218, 7.246 Å; angles 90.00, 90.00, 90.00 degrees
Fractional coordinates of all 4 atoms:
K 0.000 0.000 0.000
Ba 0.000 0.500 0.500
Ba 0.500 0.500 0.000
Sr 0.500 0.000 0.500

- polymorph energy (0 for the lowest one) (meV per atom) = 40
- energy relative to the elements (eV/atom) = 0.08
- ρ (Mg/m³) = 2.6

=====

7.
CsCdCl2: optimized geometry, PBE.

Cell lengths 4.552, 4.552, 27.431 Å; angles 90.00, 90.00, 120.00 degrees
Fractional coordinates of all 12 atoms:
Cs 0.000 0.000 0.000
Cs 0.333 0.667 0.667
Cs 0.667 0.333 0.333
Cd 0.000 0.000 0.500
Cd 0.333 0.667 0.167
Cd 0.667 0.333 0.833
Cl 0.000 0.000 0.119
Cl 0.000 0.000 0.881
Cl 0.333 0.667 0.548
Cl 0.333 0.667 0.786
Cl 0.667 0.333 0.214
Cl 0.667 0.333 0.452

- polymorph energy (0 for the lowest one) (meV per atom) = 289
- formation energy (no corrections) (meV/atom) = -864
- ρ (Mg/m³) = 3.2

=====

8.
La8SiGe2: optimized geometry, PBE.

Cell lengths 7.949, 7.949, 6.011 Å; angles 95.76, 95.76, 112.04 degrees
Fractional coordinates of all 11 atoms:
La 0.000 0.000 0.000
La 0.080 0.550 0.196
La 0.247 0.980 0.543
La 0.373 0.605 0.811
La 0.550 0.080 0.196
La 0.605 0.373 0.811
La 0.700 0.700 0.388
La 0.980 0.247 0.543
Si 0.345 0.345 0.312
Ge 0.635 0.991 0.709
Ge 0.991 0.635 0.709

- formation energy (no corrections) (meV/atom) = -374
- ρ (Mg/m³) = 6.2

=====

9.
MgSc2Cu: optimized geometry, PBE.

Cell lengths 3.308, 3.308, 27.669 Å; angles 90.00, 90.00, 120.00 degrees
Fractional coordinates of all 12 atoms:
Mg 0.000 0.000 0.000
Mg 0.333 0.667 0.667
Mg 0.667 0.333 0.333
Sc 0.000 0.000 0.237
Sc 0.000 0.000 0.430
Sc 0.333 0.667 0.097
Sc 0.333 0.667 0.903
Sc 0.667 0.333 0.570
Sc 0.667 0.333 0.764
Cu 0.000 0.000 0.834
Cu 0.333 0.667 0.500
Cu 0.667 0.333 0.167

- energy relative to the elements (eV/atom) = 0.05
- ρ (Mg/m³) = 3.4

=====

10.
Rb2CePuO6: optimized geometry, PBE.

Cell lengths 6.170, 6.170, 6.170 Å; angles 60.00, 60.00, 60.00 degrees
Fractional coordinates of all 10 atoms:
Rb 0.250 0.250 0.250
Rb 0.750 0.750 0.750
Ce 0.000 0.000 0.000
Pu 0.500 0.500 0.500
O 0.261 0.261 0.739
O 0.261 0.739 0.261
O 0.261 0.739 0.739
O 0.739 0.261 0.261
O 0.739 0.261 0.739
O 0.739 0.739 0.261

- formation energy (no corrections) (meV/atom) = -2593
- ρ (Mg/m³) = 6.5

=====

11.
PmY2ErSe4: optimized geometry, PBE.

Cell lengths 7.085, 4.052, 7.191 Å; angles 90.00, 108.84, 90.00 degrees
Fractional coordinates of all 8 atoms:
Pm 0.000 0.000 0.000
Y 0.500 0.000 0.500
Y 0.500 0.500 0.000
Er 0.000 0.500 0.500
Se 0.250 0.000 0.743
Se 0.255 0.500 0.259
Se 0.745 0.500 0.741
Se 0.750 0.000 0.257

- formation energy (no corrections) (meV/atom) = -1760
- ρ (Mg/m³) = 6.8

=====

12.
Sc2V2In: optimized geometry, PBE.

Cell lengths 7.108, 7.108, 3.842 Å; angles 90.00, 90.00, 90.00 degrees
Fractional coordinates of all 10 atoms:
Sc 0.171 0.329 0.000
Sc 0.329 0.829 0.000
Sc 0.671 0.171 0.000
Sc 0.829 0.671 0.000
V 0.118 0.618 0.500
V 0.382 0.118 0.500
V 0.618 0.882 0.500
V 0.882 0.382 0.500
In 0.000 0.000 0.500
In 0.500 0.500 0.500

- energy relative to the elements (eV/atom) = 0.07
- ρ (Mg/m³) = 5.2